[1]
The following is a PBE-GGA calculation of crystalline HfSiN2Cl at its relaxed geometry, from Alexandria.

Unit cell a=3.569 b=5.501 c=3.569 alpha=90.00 beta=90.00 gamma=90.00
Each line ends with the local moment (μB).
Sites, in units of the cell vectors:
Hf (0.000, 0.500, 0.000)  0.01
N (0.500, 0.000, 0.000)  0.11
N (0.000, 0.000, 0.500)  0.12
Cl (0.500, 0.500, 0.500)  0.00
Si (0.000, 0.000, 0.000)  -0.01

Calculated values
Raw total energy, eV/atom: -6.363
Raw formation energy, kJ/mol of atoms: 39.74

=====

[2]
The following is a PBE-GGA calculation of crystalline HfTeN2Cl at its relaxed geometry, from Alexandria.

Unit cell a=4.111 b=4.111 c=6.166 alpha=90.00 beta=90.00 gamma=90.00
Sites, in units of the cell vectors:
Te (0.000, 0.000, 0.500)
Hf (0.000, 0.000, 0.000)
N (0.000, 0.500, 0.000)
N (0.500, 0.000, 0.000)
Cl (0.500, 0.500, 0.500)

Calculated values
Raw total energy, eV/atom: -5.970
Raw formation energy, kJ/mol of atoms: 33.59
ΔE to the lowest computed polymorph, eV per atom: 0.000

=====

[3]
The following is a PBE-GGA calculation of crystalline HfTe2NCl at its relaxed geometry, from Alexandria.

Unit cell a=5.252 b=5.252 c=3.824 alpha=90.00 beta=90.00 gamma=90.00
Sites, in units of the cell vectors:
N (0.000, 0.000, 0.500)
Cl (0.000, 0.000, 0.000)
Hf (0.500, 0.500, 0.500)
Te (0.500, 0.000, 0.000)
Te (0.000, 0.500, 0.000)

Calculated values
Raw total energy, eV/atom: -4.071
Raw formation energy, kJ/mol of atoms: 116.79
ΔE to the lowest computed polymorph, eV per atom: 1.106

=====

[4]
The following is a PBE-GGA calculation of crystalline HfTeN2Cl at its relaxed geometry, from Alexandria.

Unit cell a=4.100 b=4.100 c=4.926 alpha=90.00 beta=90.00 gamma=90.00
Sites, in units of the cell vectors:
N (0.500, 0.000, 0.000)
N (0.000, 0.500, 0.000)
Cl (0.000, 0.000, 0.000)
Te (0.000, 0.000, 0.500)
Hf (0.500, 0.500, 0.500)

Calculated values
Raw total energy, eV/atom: -4.560
Raw formation energy, kJ/mol of atoms: 169.67
ΔE to the lowest computed polymorph, eV per atom: 1.410

=====

[5]
The following is a PBE-GGA calculation of crystalline HfTe2NCl at its relaxed geometry, from Alexandria.

Unit cell a=5.691 b=5.691 c=4.040 alpha=90.00 beta=90.00 gamma=90.00
Sites, in units of the cell vectors:
Cl (0.500, 0.500, 0.500)
Hf (0.000, 0.000, 0.000)
N (0.000, 0.000, 0.500)
Te (0.000, 0.500, 0.000)
Te (0.500, 0.000, 0.000)

Calculated values
Raw total energy, eV/atom: -5.177
Raw formation energy, kJ/mol of atoms: 10.10
ΔE to the lowest computed polymorph, eV per atom: 0.000

=====

[6]
The following is a PBE-GGA calculation of crystalline NaHfCl2 at its relaxed geometry, from Alexandria.

Unit cell a=7.157 b=7.157 c=6.353 alpha=55.72 beta=55.72 gamma=90.00
Each line ends with the local moment (μB).
Sites, in units of the cell vectors:
Hf (0.000, 0.000, 0.000)  1.18
Hf (0.750, 0.250, 0.500)  1.19
Cl (0.875, 0.900, 0.750)  0.02
Cl (0.100, 0.625, 0.250)  0.02
Cl (0.375, 0.350, 0.750)  0.02
Cl (0.650, 0.125, 0.250)  0.02
Na (0.500, 0.500, 0.000)  0.01
Na (0.250, 0.750, 0.500)  0.01

Calculated values
Raw total energy, eV/atom: -4.253
Raw formation energy, kJ/mol of atoms: -49.32
ΔE to the lowest computed polymorph, eV per atom: 0.504

=====

Calculated values (states/eV per atom) of N(E_F) for the records, taken in order: 0.728; 0.625; 1.045; 0.433; 1.182; 0.691.